# Fe5O8F2 (GGA+U, optimized geometry)
data_Fe5O8F2
_chemical_formula_sum 'Fe10 O16 F4'
_cell_length_a 15.146
_cell_length_b 4.563
_cell_length_c 4.563
_cell_angle_alpha 90.00
_cell_angle_beta 90.00
_cell_angle_gamma 90.00
_space_group_name_H-M_alt 'P 1'
_space_group_IT_number 1
loop_
_space_group_symop_operation_xyz
'x,y,z'
loop_
_atom_site_label
_atom_site_type_symbol
_atom_site_fract_x
_atom_site_fract_y
_atom_site_fract_z
Fe1 Fe 0.000 0.244 0.000
Fe2 Fe 0.097 0.774 0.530
Fe3 Fe 0.207 0.247 0.001
Fe4 Fe 0.293 0.753 0.501
Fe5 Fe 0.403 0.226 0.030
Fe6 Fe 0.500 0.756 0.500
Fe7 Fe 0.597 0.226 0.030
Fe8 Fe 0.707 0.753 0.501
Fe9 Fe 0.793 0.247 0.001
Fe10 Fe 0.903 0.774 0.530
O1 O 0.000 0.574 0.714
O2 O 0.000 0.959 0.333
O3 O 0.102 0.064 0.821
O4 O 0.195 0.953 0.319
O5 O 0.197 0.561 0.705
O6 O 0.303 0.439 0.205
O7 O 0.305 0.047 0.819
O8 O 0.398 0.936 0.321
O9 O 0.500 0.041 0.833
O10 O 0.500 0.426 0.214
O11 O 0.602 0.936 0.321
O12 O 0.695 0.047 0.819
O13 O 0.697 0.439 0.205
O14 O 0.803 0.561 0.705
O15 O 0.805 0.953 0.319
O16 O 0.898 0.064 0.821
F1 F 0.099 0.462 0.215
F2 F 0.401 0.538 0.715
F3 F 0.599 0.538 0.715
F4 F 0.901 0.462 0.215
# * Fermi-level density of states: 12.1 states/eV/cell
# * uncorrected energy: -6.004 eV per atom
# * crystal system: orthorhombic
# * offset from the most stable computed form: 0.114 eV/atom